1.
# Cs3BaF | Alexandria via LeMat-Bulk | GGA-PBE | optimized geometry
data_Cs3BaF
_chemical_formula_sum 'Cs3 Ba1 F1'
_cell_length_a 6.656
_cell_length_b 6.656
_cell_length_c 6.656
_cell_angle_alpha 90.00
_cell_angle_beta 90.00
_cell_angle_gamma 90.00
_symmetry_space_group_name_H-M 'P m -3 m'
_symmetry_Int_Tables_number 221
_symmetry_space_group_name_Hall '-P 4 2 3'
loop_
_atom_site_label
_atom_site_type_symbol
_atom_site_fract_x
_atom_site_fract_y
_atom_site_fract_z
Cs1 Cs 0.000 0.000 0.500
Ba1 Ba 0.500 0.500 0.500
F1 F 0.000 0.000 0.000
# - Raw formation energy: -0.820 eV per atom

=====

2.
# CsBaF3 | Alexandria via LeMat-Bulk | GGA-PBE | optimized geometry
data_CsBaF3
_chemical_formula_sum 'Cs2 Ba2 F6'
_cell_length_a 4.7656
_cell_length_b 4.7656
_cell_length_c 11.1313
_cell_angle_alpha 90.00
_cell_angle_beta 90.00
_cell_angle_gamma 120.00
_symmetry_space_group_name_H-M 'P 63/m m c'
_symmetry_Int_Tables_number 194
_symmetry_space_group_name_Hall '-P 6c 2c'
loop_
_atom_site_label
_atom_site_type_symbol
_atom_site_fract_x
_atom_site_fract_y
_atom_site_fract_z
Cs1 Cs 0.3333 0.6667 0.2500
Ba1 Ba 0.0000 0.0000 0.0000
F1 F 0.0000 0.0000 0.2500
F2 F 0.3333 0.6667 0.5485
# - Raw formation energy: -3.266 eV per atom

=====

3.
# CsBaF4 | Alexandria via LeMat-Bulk | GGA-PBE | optimized geometry
data_CsBaF4
_chemical_formula_sum 'Cs4 Ba4 F16'
_cell_length_a 7.569
_cell_length_b 7.569
_cell_length_c 7.569
_cell_angle_alpha 90.00
_cell_angle_beta 90.00
_cell_angle_gamma 90.00
_symmetry_space_group_name_H-M 'F -4 3 m'
_symmetry_Int_Tables_number 216
_symmetry_space_group_name_Hall 'F -4 2 3'
loop_
_atom_site_label
_atom_site_type_symbol
_atom_site_fract_x
_atom_site_fract_y
_atom_site_fract_z
Cs1 Cs 0.000 0.000 0.000
Ba1 Ba 0.250 0.250 0.750
F1 F 0.124 0.124 0.376
# - Raw formation energy: -2.135 eV per atom

=====

4.
# Cs4BaF6 | Alexandria via LeMat-Bulk | GGA-PBE | optimized geometry
data_Cs4BaF6
_chemical_formula_sum 'Cs24 Ba6 F36'
_cell_length_a 11.9827
_cell_length_b 11.9827
_cell_length_c 14.7085
_cell_angle_alpha 90.00
_cell_angle_beta 90.00
_cell_angle_gamma 120.00
_symmetry_space_group_name_H-M 'R -3 c'
_symmetry_Int_Tables_number 167
_symmetry_space_group_name_Hall '-R 3 2"c'
loop_
_atom_site_label
_atom_site_type_symbol
_atom_site_fract_x
_atom_site_fract_y
_atom_site_fract_z
Cs1 Cs 0.0000 0.0000 0.2500
Cs2 Cs 0.0000 0.3471 0.2500
Ba1 Ba 0.0000 0.0000 0.0000
F1 F 0.0319 0.1880 0.3956
# - Raw formation energy: -2.935 eV per atom